Density functional theory data (GGA-PBE) for crystalline Ce2CoGeAu at its relaxed geometry.

```
Ce2CoGeAu
1.0
-1.2870 2.9904 -3.0512
-1.0095 -5.0431 -4.5167
-6.4096 1.5116 4.1851
Ce Co Ge Au
4 2 2 2
direct
0.7500 0.8248 0.6251 Ce
0.7500 0.7333 0.0624 Ce
0.2500 0.1752 0.3749 Ce
0.2500 0.2667 0.9376 Ce
0.2500 0.9411 0.9363 Co
0.7500 0.0589 0.0637 Co
0.2500 0.5815 0.7312 Ge
0.7500 0.4185 0.2688 Ge
0.2500 0.6808 0.3297 Au
0.7500 0.3192 0.6703 Au
```

Values from the calculation:
The calculated total energy is -5.92 eV/atom. The calculation puts the energy of formation at -545 meV per atom. The space group is P2_1/m (11).


Density functional theory data (GGA-PBE) for crystalline Ce3Co2Ge6Au at its relaxed geometry.

```
Ce3Co2Ge6Au
1.0
6.3664 0.0000 0.0000
-3.1832 5.5135 0.0000
0.0000 0.0000 7.0475
Ce Co Ge Au
3 2 6 1
direct
0.3333 0.6667 0.6816 Ce
0.6667 0.3333 0.3184 Ce
0.0000 0.0000 0.0000 Ce
0.6667 0.3333 0.0211 Co
0.3333 0.6667 0.9789 Co
0.6034 0.8017 0.2735 Ge
0.1983 0.3966 0.2735 Ge
0.1983 0.8017 0.2735 Ge
0.8017 0.6034 0.7265 Ge
0.3966 0.1983 0.7265 Ge
0.8017 0.1983 0.7265 Ge
0.0000 0.0000 0.5000 Au
```

Values from the calculation:
The calculated total energy is -5.45 eV/atom. The calculation puts the energy of formation at -204 meV per atom. The space group is P-3m1 (164).